Computed, not measured: a geometry-optimized CeHo2Mg6 structure at the PBE-GGA level of DFT.

Computed properties:
The calculation puts the formation energy from the elements at -35 kJ/mol of formula units.

Geometry as extended XYZ:
```
9
Lattice="9.090 0.000 0.000 -4.545 7.873 0.000 0.000 0.000 3.254" Properties=species:S:1:pos:R:3 pbc="T T T"
Ce 0.000 0.000 0.000
Ho 0.000 5.248 0.000
Ho 4.545 2.624 0.000
Mg -1.526 2.643 1.627
Mg -3.019 5.230 1.627
Mg 3.052 0.000 1.627
Mg 1.526 2.643 1.627
Mg 6.039 0.000 1.627
Mg 3.019 5.230 1.627
```



Computed, not measured: a geometry-optimized AlZnW2 structure at the PBE-GGA level of DFT.

Computed properties:
The calculation puts the formation energy from the elements at 76 kJ/mol of formula units. As for the offset from the most stable computed form: 134 meV per atom.

Geometry as extended XYZ:
```
4
Lattice="2.704 -4.203 0.000 2.704 4.203 0.000 0.000 0.000 2.701" Properties=species:S:1:pos:R:3 pbc="T T T"
Al 0.000 0.000 0.000
Zn 2.704 0.000 0.000
W 1.352 2.101 1.351
W 1.352 -2.101 1.351
```



Computed, not measured: a geometry-optimized Dy2TmZn structure at the PBE-GGA level of DFT.

Computed properties:
The calculation puts the formation energy from the elements at 98 kJ/mol of formula units. As for the offset from the most stable computed form: 410 meV per atom.

Geometry as extended XYZ:
```
4
Lattice="1.715 0.990 11.713 -1.715 0.990 11.713 0.000 -1.980 11.713" Properties=species:S:1:pos:R:3 pbc="T T T"
Dy 0.000 0.000 3.060
Dy 0.000 0.000 32.081
Tm 0.000 0.000 17.570
Zn 0.000 0.000 0.000
```



Computed, not measured: a geometry-optimized LaZrO2 structure at the PBE-GGA level of DFT.

Computed properties:
Its formation energy without anion corrections is -2647 meV per atom. As for the offset from the most stable computed form: 0 meV per atom.

Geometry as extended XYZ:
```
4
Lattice="1.894 1.094 6.220 -1.894 1.094 6.220 0.000 -2.187 6.220" Properties=species:S:1:pos:R:3 pbc="T T T"
La 0.000 0.000 0.000
Zr 0.000 0.000 9.330
O 0.000 0.000 7.280
O 0.000 0.000 11.380
```



Computed, not measured: a geometry-optimized CrCu2Ir structure at the PBE-GGA level of DFT.

Computed properties:
The calculation puts the formation energy from the elements at 48 kJ/mol of formula units.

Geometry as extended XYZ:
```
4
Lattice="4.270 -1.350 0.000 4.270 1.350 0.000 -0.840 0.000 4.446" Properties=species:S:1:pos:R:3 pbc="T T T"
Cr 0.000 0.000 0.000
Cu 3.855 0.000 2.224
Cu 6.170 0.000 1.333
Ir 1.482 0.000 3.579
```



Computed, not measured: a geometry-optimized Li3CdAu3 structure at the PBE-GGA level of DFT.

Computed properties:
The calculation puts the formation energy from the elements at -275 kJ/mol of formula units. As for the offset from the most stable computed form: 0 meV per atom.

Geometry as extended XYZ:
```
14
Lattice="4.222 -4.581 0.000 4.222 4.581 0.000 0.000 0.000 6.179" Properties=species:S:1:pos:R:3 pbc="T T T"
Li 0.000 0.000 1.418
Li 0.000 0.000 4.761
Li 2.111 2.290 1.481
Li 2.111 2.290 4.698
Li 2.111 -2.290 1.481
Li 2.111 -2.290 4.698
Cd 2.549 0.000 3.089
Cd 5.895 0.000 3.089
Au 4.222 2.418 3.089
Au 4.222 2.249 0.000
Au 2.362 0.000 0.000
Au 6.082 0.000 0.000
Au 4.222 -2.249 0.000
Au 4.222 -2.418 3.089
```



Computed, not measured: a geometry-optimized Nd4SmEu structure at the PBE-GGA level of DFT.

Computed properties:
The calculation puts the formation energy from the elements at 132 kJ/mol of formula units.

Geometry as extended XYZ:
```
6
Lattice="0.000 4.837 4.837 4.837 0.000 4.837 4.837 4.837 0.000" Properties=species:S:1:pos:R:3 pbc="T T T"
Nd 3.648 3.648 3.648
Nd 6.027 6.027 3.648
Nd 6.027 3.648 6.027
Nd 3.648 6.027 6.027
Sm 7.256 7.256 7.256
Eu 0.000 0.000 0.000
```



Computed, not measured: a geometry-optimized YNi4Pd8 structure at the PBE-GGA level of DFT.

Computed properties:
The calculation puts the formation energy from the elements at -300 kJ/mol of formula units.

Geometry as extended XYZ:
```
13
Lattice="-4.425 4.425 2.504 4.425 -4.425 2.504 4.425 4.425 -2.504" Properties=species:S:1:pos:R:3 pbc="T T T"
Y 0.000 0.000 0.000
Ni 2.212 2.212 -1.252
Ni 2.212 -2.212 1.252
Ni -2.212 2.212 1.252
Ni 2.212 2.212 1.252
Pd 3.054 0.000 0.000
Pd 5.796 0.000 0.000
Pd 4.425 2.499 0.000
Pd 0.000 3.054 0.000
Pd 2.499 4.425 0.000
Pd 1.926 0.000 2.504
Pd 0.000 5.796 0.000
Pd 0.000 1.926 2.504
```



no.,magnetic moment (μB per cell)
1,1.3
2,0.0
3,0.0
4,0.0
5,1.1
6,0.0
7,7.1
8,4.3